The following is a DFT calculation (PBE-GGA) of a relaxed structure of RbTiAgCl6.

abc: 6.9956 6.9970 6.9222
angles: 91.21 88.79 58.10
Closest atoms and distances in Å follow each position.
Fractional positions:
Rb: 0.0100 0.0100 0.0000  6 Cl 3.34-3.38
Ti: 0.3370 0.3370 0.5001  6 Cl 2.34-2.43
Ag: 0.6644 0.6648 0.4997  4 Cl 2.60-2.84
Cl: 0.0333 0.3659 0.3130  1 Ti 2.43, 1 Ag 2.60
Cl: 0.3661 0.0334 0.6872  1 Ti 2.43, 1 Ag 2.60
Cl: 0.6126 0.3356 0.6864  1 Ti 2.34
Cl: 0.0520 0.5889 0.7225  1 Ti 2.34
Cl: 0.3355 0.6125 0.3136  1 Ti 2.34
Cl: 0.5890 0.0519 0.2776  1 Ti 2.34

Output
- raw formation energy (eV/atom) = -1.406
- magnetization (μB/atom) = 0.00
- raw total energy (eV/atom) = -3.9391